1.
DFT (PBE) results for an optimized crystal structure of Be2AlTl.

## Properties
E above lowest polymorph in meV per atom: 533.2

```
8
Lattice="-4.6880 -2.7887 -4.4087 4.9999 -4.0927 -2.7279 -0.4490 -5.4598 -1.6478" Properties=species:S:1:pos:R:3 pbc="T T T"
Al 0.1560 -3.4407 -3.5683
Al 2.3534 -6.4966 -3.9720
Be -0.1099 -6.7653 -3.9721
Be -0.1738 -10.0261 -7.4204
Be -2.3142 -3.5581 -3.4115
Be 2.3236 -4.3328 -2.7649
Tl 0.0000 0.0000 0.0000
Tl -2.4905 -5.8446 -4.8124
```

---

2.
DFT (PBE) results for an optimized crystal structure of BeAl3Tl.

## Properties
E above lowest polymorph in meV per atom: 998.2

```
5
Lattice="-1.5020 -1.9739 -4.6327 -2.7422 -3.7341 2.4801 -4.2236 3.1264 0.0373" Properties=species:S:1:pos:R:3 pbc="T T T"
Be -4.2339 -1.2908 -1.0577
Tl 0.0000 0.0000 0.0000
Al -1.3711 -1.8671 1.2401
Al -2.1118 1.5632 0.0186
Al -0.7510 -0.9870 -2.3164
```

---

3.
DFT (PBE) results for an optimized crystal structure of Be2AlTl.

## Properties
E above lowest polymorph in meV per atom: 561.3

```
4
Lattice="-3.8268 -1.7131 -1.7257 0.1714 -3.5614 -2.8008 -1.4988 -4.0484 1.3862" Properties=species:S:1:pos:R:3 pbc="T T T"
Be 0.0000 0.0000 0.0000
Be -1.2886 -2.3307 -0.7851
Tl -3.8657 -6.9921 -2.3553
Al -2.5771 -4.6614 -1.5702
```

---

4.
DFT (PBE) results for an optimized crystal structure of BeAlTl2.

## Properties
E above lowest polymorph in meV per atom: 39.0

```
4
Lattice="-2.7464 -3.3839 0.1064 0.3814 -0.4462 -4.3433 3.8423 -3.1627 -1.4083" Properties=species:S:1:pos:R:3 pbc="T T T"
Al 2.2905 -1.9731 -3.6280
Be 1.6500 -4.2571 -3.4940
Tl 3.9513 -3.3810 -5.5366
Tl -0.0789 -2.7948 -1.6140
```

---

5.
DFT (PBE) results for an optimized crystal structure of BeAlTl.

```
6
Lattice="10.1943 -0.1285 -0.0787 0.0656 3.6664 0.0182 -0.1192 -1.8489 3.1618" Properties=species:S:1:pos:R:3 pbc="T T T"
Al 0.5980 0.7953 0.5739
Al 3.2711 0.7479 0.6332
Tl 8.4192 0.7032 2.6370
Tl 5.5912 2.5490 1.6696
Be 1.8506 0.7601 2.7182
Be 1.9651 2.5982 1.6690
```

---

6.
DFT (PBE) results for an optimized crystal structure of Be3AlTl.

## Properties
E above lowest polymorph in meV per atom: 0.0

```
5
Lattice="4.5033 0.0000 0.0000 0.0000 4.5033 0.0000 0.0000 0.0000 4.5033" Properties=species:S:1:pos:R:3 pbc="T T T"
Be 0.0000 0.0000 2.2516
Be 0.0000 2.2516 0.0000
Be 2.2516 0.0000 0.0000
Tl 2.2516 2.2516 2.2516
Al 0.0000 0.0000 0.0000
```

---

no.,energy of formation (eV/atom),size of the total moment (μB/cell)
1,0.8291,0.0
2,1.3961,0.0
3,0.8572,0.0
4,0.4031,0.0
5,0.1416,0.0
6,1.0008,0.0